[1]
Tb2Sm6HoTm | GGA-PBE | relaxed

Results
**Calculated formation energy**: 118 meV/atom

a = 9.155 Å, b = 15.215 Å, c = 9.600 Å
α = 90.00°, β = 97.59°, γ = 90.00°
Space group C2/c (No. 15)
Inequivalent atoms, fractional coordinates:
1 Tb 0.250 0.050 0.045 (multiplicity 8)
2 Sm 0.060 0.181 0.445 (multiplicity 8)
3 Sm 0.102 0.392 0.619 (multiplicity 8)
4 Sm 0.210 0.223 0.812 (multiplicity 8)
5 Ho 0.000 0.025 0.750 (multiplicity 4)
6 Tm 0.000 0.410 0.250 (multiplicity 4)

[2]
Ge2MoPb2 | GGA-PBE | relaxed

Results
**Calculated formation energy**: 820 meV/atom
**Offset from the most stable computed form**: 0.194 eV per atom

a = 7.554 Å, b = 7.554 Å, c = 4.377 Å
α = 90.00°, β = 90.00°, γ = 90.00°
Space group P4/mbm (No. 127)
Inequivalent atoms, fractional coordinates:
1 Ge 0.140 0.360 0.000 (multiplicity 4)
2 Mo 0.000 0.000 0.500 (multiplicity 2)
3 Pb 0.160 0.660 0.500 (multiplicity 4)

[3]
Mg7Zn3Cu2 | GGA-PBE | relaxed

Results
**Calculated formation energy**: 226 meV/atom

a = 5.5935 Å, b = 5.5935 Å, c = 27.2084 Å
α = 90.00°, β = 90.00°, γ = 120.00°
Space group R-3m (No. 166, hexagonal axes)
Inequivalent atoms, fractional coordinates:
1 Mg 0.0000 0.0000 0.0000 (multiplicity 3)
2 Mg 0.0025 0.5012 0.4227 (multiplicity 18)
3 Zn 0.0000 0.0000 0.3467 (multiplicity 6)
4 Zn 0.0000 0.0000 0.5000 (multiplicity 3)
5 Cu 0.0000 0.0000 0.1669 (multiplicity 6)

[4]
KCdGa2Au5 | GGA-PBE | relaxed

Results
**Calculated formation energy**: -151 meV/atom

a = 4.948 Å, b = 4.948 Å, c = 9.244 Å
α = 90.00°, β = 90.00°, γ = 90.00°
Space group P4/mmm (No. 123)
Inequivalent atoms, fractional coordinates:
1 K 0.000 0.000 0.000 (multiplicity 1)
2 Cd 0.000 0.000 0.500 (multiplicity 1)
3 Ga 0.500 0.500 0.273 (multiplicity 2)
4 Au 0.000 0.500 0.339 (multiplicity 4)
5 Au 0.500 0.500 0.000 (multiplicity 1)